(1)
## Ba3VZn (PBE)

Data for Ba3VZn after structural relaxation.

Output
Polymorph energy (0 for the lowest one) ... 0 meV/atom
E_tot ... -2.579 eV/atom

a b c (Å): 6.3099 6.3099 6.3099
angles (deg): 90.00 90.00 90.00
With the nearest neighbours (Å) after each atom.
Space group Pm-3m (No. 221)
Inequivalent atoms, fractional coordinates:
Ba 0.0000 0.0000 0.5000 (multiplicity 3)  2 Zn 3.15
V 0.5000 0.5000 0.5000 (multiplicity 1)  12 Ba 4.46
Zn 0.0000 0.0000 0.0000 (multiplicity 1)  6 Ba 3.15



(2)
## BaVZn2 (PBE)

Data for BaVZn2 after structural relaxation.

Output
Polymorph energy (0 for the lowest one) ... 0 meV/atom
E_tot ... -3.010 eV/atom

a b c (Å): 5.0240 5.0240 18.5772
angles (deg): 90.00 90.00 90.00
With the nearest neighbours (Å) after each atom.
Space group I4_1/amd (No. 141, origin choice 2)
Inequivalent atoms, fractional coordinates:
Ba 0.0000 0.2500 0.3750 (multiplicity 4)  4 V 3.55, 8 Zn 3.64
V 0.0000 0.2500 0.8750 (multiplicity 4)  4 Zn 2.64
Zn 0.0000 0.0000 0.0000 (multiplicity 8)  2 Zn 2.51, 2 V 2.64



(3)
## BaV3Zn (PBE)

Data for BaV3Zn after structural relaxation.

Output
Polymorph energy (0 for the lowest one) ... 0 meV/atom
E_tot ... -4.979 eV/atom

a b c (Å): 5.0138 5.0138 5.0138
angles (deg): 90.00 90.00 90.00
With the nearest neighbours (Å) after each atom.
Space group Pm-3m (No. 221)
Inequivalent atoms, fractional coordinates:
Ba 0.0000 0.0000 0.0000 (multiplicity 1)  12 V 3.55
V 0.0000 0.5000 0.5000 (multiplicity 3)  2 Zn 2.51
Zn 0.5000 0.5000 0.5000 (multiplicity 1)  6 V 2.51



(4)
## BaZrV2 (PBE)

Data for BaZrV2 after structural relaxation.

Output
Polymorph energy (0 for the lowest one) ... 303 meV/atom
E_tot ... -5.886 eV/atom

a b c (Å): 4.7825 4.7825 19.2616
angles (deg): 90.00 90.00 90.00
With the nearest neighbours (Å) after each atom.
Space group I-42d (No. 122)
Inequivalent atoms, fractional coordinates:
Ba 0.0000 0.0000 0.0000 (multiplicity 4)  4 Zr 3.38, 8 V 3.46-3.74
Zr 0.0000 0.0000 0.5000 (multiplicity 4)  4 V 2.70
V 0.0436 0.7500 0.6250 (multiplicity 8)  2 V 2.43, 2 Zr 2.70



(5)
## BaZr2V (PBE)

Data for BaZr2V after structural relaxation.

Output
Polymorph energy (0 for the lowest one) ... 0 meV/atom
E_tot ... -6.174 eV/atom

a b c (Å): 7.3485 7.3485 7.3485
angles (deg): 90.00 90.00 90.00
With the nearest neighbours (Å) after each atom.
Space group Fm-3m (No. 225)
Inequivalent atoms, fractional coordinates:
Ba 0.0000 0.0000 0.0000 (multiplicity 4)  8 Zr 3.18
Zr 0.2500 0.2500 0.2500 (multiplicity 8)  4 Ba 3.18, 4 V 3.18
V 0.0000 0.0000 0.5000 (multiplicity 4)  8 Zr 3.18



(6)
## BaZrV (PBE)

Data for BaZrV after structural relaxation.

Output
Polymorph energy (0 for the lowest one) ... 0 meV/atom
E_tot ... -6.208 eV/atom

a b c (Å): 4.1039 3.7825 12.1450
angles (deg): 90.00 98.76 90.00
With the nearest neighbours (Å) after each atom.
Space group P2_1/m (No. 11)
Inequivalent atoms, fractional coordinates:
Ba 0.1820 0.2500 0.3477 (multiplicity 2)  1 V 3.33
Zr 0.4329 0.2500 0.8947 (multiplicity 2)  6 V 2.81-3.05
V 0.0491 0.2500 0.0705 (multiplicity 2)  2 V 2.54, 5 Zr 2.81-2.84



(7)
## BaZrV (PBE)

Data for BaZrV after structural relaxation.

Output
Polymorph energy (0 for the lowest one) ... 127 meV/atom
E_tot ... -6.081 eV/atom

a b c (Å): 3.6054 5.1371 11.1715
angles (deg): 77.87 89.74 69.49
With the nearest neighbours (Å) after each atom.
Space group P1 (No. 1)
Inequivalent atoms, fractional coordinates:
Ba 0.0000 0.0000 0.0000 (multiplicity 1)  2 V 3.46, 2 Ba 3.61, 2 Zr 3.72
Ba 0.3352 0.3485 0.3177 (multiplicity 1)  3 Zr 3.40-3.67, 2 Ba 3.61
Zr 0.1213 0.7713 0.5243 (multiplicity 1)  3 V 2.78-2.82, 2 Zr 3.01
Zr 0.5671 0.8736 0.7262 (multiplicity 1)  5 V 2.72-2.91, 2 Zr 3.01
V 0.2958 0.4152 0.7615 (multiplicity 1)  2 V 2.48-2.49, 1 Zr 2.72
V 0.8365 0.3380 0.6193 (multiplicity 1)  2 V 2.48-2.49, 1 Zr 2.78



(8)
## BaZr2V (PBE)

Data for BaZr2V after structural relaxation.

Output
Polymorph energy (0 for the lowest one) ... 248 meV/atom
E_tot ... -5.926 eV/atom

a b c (Å): 7.5580 7.5580 10.7074
angles (deg): 90.00 90.00 90.00
With the nearest neighbours (Å) after each atom.
Space group I4_1/amd (No. 141, origin choice 2)
Inequivalent atoms, fractional coordinates:
Ba 0.0000 0.2500 0.3750 (multiplicity 4)  12 Zr 4.43-4.44, 4 Ba 4.63, 4 V 4.63
Zr 0.0000 0.0000 0.0000 (multiplicity 8)  2 V 2.32
V 0.0000 0.2500 0.8750 (multiplicity 4)  4 Zr 2.32



(9)
## BaZrV (PBE)

Data for BaZrV after structural relaxation.

Output
Polymorph energy (0 for the lowest one) ... 331 meV/atom
E_tot ... -5.877 eV/atom

a b c (Å): 3.5344 3.5344 13.6966
angles (deg): 90.00 90.00 90.00
With the nearest neighbours (Å) after each atom.
Space group I4mm (No. 107)
Inequivalent atoms, fractional coordinates:
Ba 0.0000 0.0000 0.0000 (multiplicity 2)  4 V 3.51, 4 Ba 3.53, 5 Zr 3.85-3.90
Zr 0.0000 0.0000 0.7187 (multiplicity 2)  4 V 2.86
V 0.0000 0.0000 0.3200 (multiplicity 2)  4 Zr 2.86



(10)
## BaZrV (PBE)

Data for BaZrV after structural relaxation.

Output
Polymorph energy (0 for the lowest one) ... 279 meV/atom
E_tot ... -5.929 eV/atom

a b c (Å): 3.2811 5.4182 9.7473
angles (deg): 82.00 80.88 82.32
With the nearest neighbours (Å) after each atom.
Space group P1 (No. 1)
Inequivalent atoms, fractional coordinates:
Ba 0.0000 0.0000 0.0000 (multiplicity 1)  4 V 3.18-3.48, 2 Ba 3.28
Ba 0.1015 0.5569 0.7302 (multiplicity 1)  2 Ba 3.28, 2 Zr 3.54-3.65
Zr 0.5600 0.6926 0.3655 (multiplicity 1)  2 V 2.72-3.01
Zr 0.7947 0.1084 0.5135 (multiplicity 1)  1 V 2.52
V 0.2196 0.2532 0.2853 (multiplicity 1)  1 V 2.01
V 0.5207 0.4791 0.1326 (multiplicity 1)  1 V 2.01



(11)
## BaZrV2 (PBE)

Data for BaZrV2 after structural relaxation.

Output
Polymorph energy (0 for the lowest one) ... 0 meV/atom
E_tot ... -6.188 eV/atom

a b c (Å): 7.2152 7.2152 7.2152
angles (deg): 90.00 90.00 90.00
With the nearest neighbours (Å) after each atom.
Space group Fm-3m (No. 225)
Inequivalent atoms, fractional coordinates:
Ba 0.0000 0.0000 0.0000 (multiplicity 4)  8 V 3.12
Zr 0.0000 0.0000 0.5000 (multiplicity 4)  8 V 3.12
V 0.2500 0.2500 0.2500 (multiplicity 8)  4 Zr 3.12, 4 Ba 3.12



(12)
## BaZrV (PBE)

Data for BaZrV after structural relaxation.

Output
Polymorph energy (0 for the lowest one) ... 53 meV/atom
E_tot ... -6.155 eV/atom

a b c (Å): 3.3016 3.3022 14.9464
angles (deg): 94.54 94.80 90.25
With the nearest neighbours (Å) after each atom.
Space group P-1 (No. 2)
Inequivalent atoms, fractional coordinates:
Ba 0.0970 0.1036 0.1289 (multiplicity 2)  4 Ba 3.30
Zr 0.3114 0.3075 0.6569 (multiplicity 2)  5 V 2.87-2.97
V 0.2330 0.2343 0.4567 (multiplicity 2)  4 V 2.66-2.67, 5 Zr 2.87-2.97



(13)
## BaW (PBE)

Data for BaW after structural relaxation.

Output
Polymorph energy (0 for the lowest one) ... 2061 meV/atom
E_tot ... -4.601 eV/atom

a b c (Å): 5.7967 5.7967 6.7168
angles (deg): 90.00 90.00 120.00
With the nearest neighbours (Å) after each atom.
Space group P6_3/mmc (No. 194)
Inequivalent atoms, fractional coordinates:
Ba 0.3333 0.6667 0.2500 (multiplicity 2)  5 W 3.35-3.36
W 0.3333 0.6667 0.7500 (multiplicity 2)  5 Ba 3.35-3.36



(14)
## Ba3W (PBE)

Data for Ba3W after structural relaxation.

Output
Polymorph energy (0 for the lowest one) ... 386 meV/atom
E_tot ... -3.675 eV/atom

a b c (Å): 4.0322 4.0322 10.7928
angles (deg): 90.00 90.00 90.00
With the nearest neighbours (Å) after each atom.
Space group P4/mmm (No. 123)
Inequivalent atoms, fractional coordinates:
Ba 0.0000 0.0000 0.0000 (multiplicity 1)  12 Ba 4.03-4.48
Ba 0.5000 0.5000 0.3205 (multiplicity 2)  4 W 3.45
W 0.0000 0.0000 0.5000 (multiplicity 1)  8 Ba 3.45



For each record above, in turn, the calculated energy of formation values are 653; 387; 1131; 1291; 860; 322; 449; 1108; 653; 601; 989; 375; 2837; 1006 meV/atom.